# 1
Entry from Alexandria via LeMat-Bulk: a geometry-optimized MgI2O2 structure (GGA-PBE).

- E_tot (eV/atom) = -2.7127
- offset from the most stable computed form (meV per atom) = 448

Geometry as POSCAR:
```
MgI2O2
1.0
-5.256 0.885 2.172
-0.695 -5.679 0.632
1.409 0.198 3.329
Mg O I
1 2 2
Direct
0.000 0.000 0.000
0.500 0.500 0.500
0.000 0.000 0.500
0.000 0.500 0.000
0.500 0.000 0.000
```

***

# 2
Entry from Alexandria via LeMat-Bulk: a geometry-optimized Mg2IO5 structure (GGA-PBE).

- E_tot (eV/atom) = -5.0058

Geometry as POSCAR:
```
Mg2IO5
1.0
4.711 0.331 2.780
2.703 5.142 1.134
0.218 0.682 5.876
Mg O I
2 5 1
Direct
0.589 0.613 0.057
0.589 0.057 0.613
0.432 0.768 0.768
0.568 0.276 0.276
0.071 0.296 0.842
0.071 0.842 0.296
0.714 0.918 0.918
0.965 0.007 0.007
```

***

# 3
Entry from Alexandria via LeMat-Bulk: a geometry-optimized MgI3O structure (GGA-PBE).

- E_tot (eV/atom) = -2.0789
- offset from the most stable computed form (meV per atom) = 0

Geometry as POSCAR:
```
MgI3O
1.0
5.151 0.000 0.000
0.000 5.151 0.000
0.000 0.000 5.151
I O Mg
3 1 1
Direct
0.000 0.000 0.500
0.500 0.000 0.000
0.000 0.500 0.000
0.000 0.000 0.000
0.500 0.500 0.500
```

***

# 4
Entry from Alexandria via LeMat-Bulk: a geometry-optimized MgI3O structure (GGA-PBE).

- E_tot (eV/atom) = -1.8189
- offset from the most stable computed form (meV per atom) = 260

Geometry as POSCAR:
```
MgI3O
1.0
-1.102 -5.430 0.659
1.980 0.231 5.212
-5.099 1.263 1.881
Mg I O
1 3 1
Direct
0.000 0.000 0.000
0.000 0.500 0.000
0.000 0.000 0.500
0.500 0.000 0.000
0.500 0.500 0.500
```

***

# 5
Entry from Alexandria via LeMat-Bulk: a geometry-optimized MgI2O2 structure (GGA-PBE).

- E_tot (eV/atom) = -3.0412
- offset from the most stable computed form (meV per atom) = 120

Geometry as POSCAR:
```
MgI2O2
1.0
-3.064 2.418 -1.393
-0.974 -2.865 -2.832
-4.876 -3.293 5.007
I Mg O
2 1 2
Direct
0.000 0.000 0.000
0.000 0.000 0.500
0.500 0.500 0.500
0.500 0.000 0.000
0.000 0.500 0.000
```

***

# 6
Entry from Alexandria via LeMat-Bulk: a geometry-optimized MgI2O10 structure (GGA-PBE).

- E_tot (eV/atom) = -4.0169

Geometry as POSCAR:
```
MgI2O10
1.0
-4.755 2.180 0.000
-3.032 -6.611 4.561
1.961 4.275 7.300
O Mg I
20 2 4
Direct
0.821 0.176 0.339
0.855 0.509 0.140
0.108 0.223 0.162
0.392 0.723 0.162
0.409 0.636 0.698
0.892 0.777 0.838
0.355 0.991 0.860
0.669 0.030 0.616
0.179 0.824 0.661
0.591 0.364 0.302
0.331 0.970 0.384
0.145 0.491 0.860
0.645 0.009 0.140
0.321 0.324 0.661
0.831 0.530 0.616
0.091 0.136 0.698
0.909 0.864 0.302
0.169 0.470 0.384
0.608 0.277 0.838
0.679 0.676 0.339
0.000 0.000 0.500
0.500 0.500 0.500
0.815 0.567 0.824
0.685 0.067 0.824
0.315 0.933 0.176
0.185 0.433 0.176
```

***

# 7
Entry from Alexandria via LeMat-Bulk: a geometry-optimized MgI2O2 structure (GGA-PBE).

- E_tot (eV/atom) = -3.1608
- offset from the most stable computed form (meV per atom) = 0

Geometry as POSCAR:
```
MgI2O2
1.0
4.247 0.000 0.000
0.000 4.247 0.000
0.000 0.000 6.770
O I Mg
2 2 1
Direct
0.500 0.000 0.000
0.000 0.500 0.000
0.000 0.000 0.500
0.500 0.500 0.500
0.000 0.000 0.000
```

***

# 8
Entry from Alexandria via LeMat-Bulk: a geometry-optimized MgI2O2 structure (GGA-PBE).

- E_tot (eV/atom) = -2.5668
- offset from the most stable computed form (meV per atom) = 594

Geometry as POSCAR:
```
MgI2O2
1.0
-0.396 -3.563 3.310
-1.350 -3.110 -3.509
3.943 -1.013 -0.619
O Mg I
2 1 2
Direct
0.000 0.000 0.000
0.000 0.000 0.500
0.500 0.500 0.500
0.500 0.000 0.000
0.000 0.500 0.000
```

***

# 9
Entry from Alexandria via LeMat-Bulk: a geometry-optimized Mg2I2O7 structure (GGA-PBE).

- E_tot (eV/atom) = -4.8874

Geometry as POSCAR:
```
Mg2I2O7
1.0
-0.965 -1.580 5.664
-4.634 -2.399 -1.669
3.513 -4.133 -0.765
Mg O I
2 7 2
Direct
0.500 0.313 0.687
0.500 0.687 0.313
0.676 0.368 0.023
0.676 0.023 0.368
0.000 0.000 0.000
0.272 0.497 0.497
0.728 0.503 0.503
0.324 0.977 0.632
0.324 0.632 0.977
0.862 0.255 0.255
0.138 0.745 0.745
```

***

# 10
Entry from Alexandria via LeMat-Bulk: a geometry-optimized MgIO4 structure (GGA-PBE).

- E_tot (eV/atom) = -4.8343

Geometry as POSCAR:
```
MgIO4
1.0
4.813 0.000 0.000
0.000 5.863 -0.005
0.000 -2.336 5.247
Mg O I
2 8 2
Direct
0.000 0.500 0.500
0.500 0.000 0.500
0.279 0.826 0.148
0.315 0.359 0.673
0.221 0.326 0.148
0.815 0.141 0.327
0.721 0.174 0.852
0.779 0.674 0.852
0.685 0.641 0.327
0.185 0.859 0.673
0.000 0.000 0.000
0.500 0.500 0.000
```

***

# 11
Entry from Alexandria via LeMat-Bulk: a geometry-optimized Mg2IO6 structure (GGA-PBE).

- E_tot (eV/atom) = -5.1339

Geometry as POSCAR:
```
Mg2IO6
1.0
-0.212 -2.134 4.535
-3.027 -3.866 -1.960
6.974 -4.542 -1.811
O Mg I
12 4 2
Direct
0.715 0.351 0.159
0.785 0.851 0.659
0.714 0.351 0.840
0.191 0.695 0.500
0.691 0.805 0.000
0.285 0.649 0.841
0.786 0.851 0.340
0.286 0.649 0.160
0.309 0.195 0.000
0.809 0.305 0.500
0.215 0.149 0.341
0.214 0.149 0.660
0.000 0.500 0.307
0.500 0.000 0.807
0.000 0.500 0.693
0.500 0.000 0.193
0.500 0.500 0.000
0.000 0.000 0.500
```

***

# 12
Entry from Alexandria via LeMat-Bulk: a geometry-optimized MgOsI2O structure (GGA-PBE).

- E_tot (eV/atom) = -4.2838
- offset from the most stable computed form (meV per atom) = 0

Geometry as POSCAR:
```
MgOsI2O
1.0
5.644 0.000 0.000
0.000 5.644 0.000
0.000 0.000 3.768
Mg O I Os
1 1 2 1
Direct
0.500 0.500 0.500
0.000 0.000 0.500
0.500 0.000 0.000
0.000 0.500 0.000
0.000 0.000 0.000
```